5
Lattice="4.367 0.000 0.000 0.000 4.367 0.000 0.000 0.000 5.015" Properties=species:S:1:pos:R:3 comment="ZrNiB2Pt | Alexandria | GGA-PBE | optimized geometry" final_energy_ev_per_atom=-4.95 formation_energy_ev_per_atom=1.793 polymorph_energy_ev_per_atom=1.347 pbc="T T T"
Zr 0.000 0.000 0.000
Ni 2.184 2.184 2.508
B 0.000 2.184 0.000
B 2.184 0.000 0.000
Pt 0.000 0.000 2.508

***

9
Lattice="-4.340 4.340 2.849 4.340 -4.340 2.849 4.340 4.340 -2.849" Properties=species:S:1:pos:R:3 comment="Rb4HgO4 | Alexandria | GGA-PBE | optimized geometry" raw_formation_energy_ev_per_fu=-7.9 final_energy_ev_per_atom=-3.55 pbc="T T T"
Rb 6.081 0.972 0.000
Rb 0.972 2.599 0.000
Rb 3.368 1.741 2.849
Rb -1.741 3.368 2.849
Hg 0.000 0.000 2.849
O 3.727 2.362 0.000
O 1.978 -0.613 2.849
O 2.362 4.953 0.000
O 0.613 1.978 2.849

***

20
Lattice="8.448 0.000 0.000 0.000 4.539 0.000 0.000 0.000 17.636" Properties=species:S:1:pos:R:3 comment="LaNdTe3 | Alexandria | GGA-PBE | optimized geometry" raw_formation_energy_ev_per_fu=-7.7 final_energy_ev_per_atom=-5.36 polymorph_energy_ev_per_atom=0.000 pbc="T T T"
La 1.134 1.135 3.569
La 3.090 3.404 12.387
La 5.358 1.135 5.249
La 7.313 3.404 14.067
Nd 1.949 3.404 8.067
Nd 2.275 1.135 16.885
Nd 6.173 3.404 0.752
Nd 6.499 1.135 9.570
Te 0.023 1.135 6.901
Te 1.014 3.404 1.156
Te 1.300 1.135 13.792
Te 2.924 3.404 4.974
Te 3.210 1.135 9.974
Te 4.201 3.404 15.719
Te 4.247 1.135 1.918
Te 5.238 3.404 7.663
Te 5.524 1.135 12.663
Te 7.148 3.404 3.845
Te 7.434 1.135 16.481
Te 8.424 3.404 10.736

***

11
Lattice="7.395 -3.485 0.000 7.395 3.485 0.000 -0.150 0.000 7.786" Properties=species:S:1:pos:R:3 comment="Ca2CeBr8 | Alexandria | GGA-PBE | optimized geometry" raw_formation_energy_ev_per_fu=-18.8 final_energy_ev_per_atom=-3.83 pbc="T T T"
Ca 2.011 0.000 0.310
Ca 12.629 0.000 7.477
Ce -0.075 0.000 3.893
Br 2.620 0.000 3.163
Br 6.880 1.740 1.734
Br 7.760 1.740 6.053
Br 4.372 0.000 7.040
Br 10.267 0.000 0.746
Br 6.880 -1.740 1.734
Br 7.760 -1.740 6.053
Br 12.019 0.000 4.623

***

7
Lattice="2.665 1.539 7.889 -2.665 1.539 7.889 0.000 -3.078 7.889" Properties=species:S:1:pos:R:3 comment="Ho2Er3Cd2 | Alexandria | GGA-PBE | optimized geometry" final_energy_ev_per_atom=-3.67 formation_energy_ev_per_atom=-0.149 polymorph_energy_ev_per_atom=0.000 pbc="T T T"
Ho 0.000 0.000 1.760
Ho 0.000 0.000 21.908
Er 0.000 0.000 8.140
Er 0.000 0.000 11.834
Er 0.000 0.000 15.527
Cd 0.000 0.000 5.019
Cd 0.000 0.000 18.648

***

10
Lattice="4.376 0.000 0.000 0.000 4.376 0.000 0.000 0.000 10.883" Properties=species:S:1:pos:R:3 comment="Ca2Zn4SnGe3 | Alexandria | GGA-PBE | optimized geometry" final_energy_ev_per_atom=-3.00 formation_energy_ev_per_atom=-0.309 pbc="T T T"
Ca 0.000 2.188 2.585
Ca 2.188 0.000 8.298
Zn 0.000 0.000 0.000
Zn 0.000 2.188 7.030
Zn 2.188 0.000 3.854
Zn 2.188 2.188 0.000
Sn 0.000 0.000 5.442
Ge 0.000 2.188 9.464
Ge 2.188 0.000 1.419
Ge 2.188 2.188 5.442

***

10
Lattice="5.334 -2.156 0.000 5.334 2.156 0.000 -4.925 0.000 9.435" Properties=species:S:1:pos:R:3 comment="Sm2Ga2Ni | Alexandria | GGA-PBE | optimized geometry" final_energy_ev_per_atom=-4.83 formation_energy_ev_per_atom=-0.571 pbc="T T T"
Sm -1.557 0.000 3.151
Sm 1.466 0.000 1.112
Sm 4.276 0.000 8.323
Sm 7.298 0.000 6.284
Ga 1.469 0.000 4.161
Ga 4.594 0.000 1.117
Ga 1.147 0.000 8.318
Ga 4.273 0.000 5.274
Ni -0.269 0.000 6.163
Ni 6.011 0.000 3.272

***

5
Lattice="-2.225 2.225 9.685 2.225 -2.225 9.685 2.225 2.225 -9.685" Properties=species:S:1:pos:R:3 comment="Ac2Tm2Pb | Alexandria | GGA-PBE | optimized geometry" final_energy_ev_per_atom=-4.02 formation_energy_ev_per_atom=0.157 pbc="T T T"
Ac 0.000 0.000 1.760
Ac 0.000 0.000 17.611
Tm 2.225 0.000 4.843
Tm 0.000 2.225 4.843
Pb 0.000 0.000 9.685